Record 1
CeAlCo (PBE-GGA, relaxed); DOS(E_F) = 0.88 states/eV/atom; ρ = 7.0 g/cm3; SG = P2_1/m; uncorrected energy = -6.08 eV per atom
1.0
6.7722 0.0000 0.0000
0.0000 4.2765 0.0000
-0.7812 0.0000 11.1671
Ce Al Co
6 6 6
direct
0.0370 0.2500 0.2821
0.3639 0.7500 0.9212
0.4507 0.7500 0.6177
0.5493 0.2500 0.3823
0.6361 0.2500 0.0788
0.9630 0.7500 0.7179
0.0077 0.2500 0.9224
0.1275 0.2500 0.5479
0.3617 0.7500 0.2088
0.6383 0.2500 0.7912
0.8725 0.7500 0.4521
0.9923 0.7500 0.0776
0.2144 0.2500 0.1164
0.2485 0.7500 0.4461
0.2641 0.2500 0.7702
0.7359 0.7500 0.2298
0.7515 0.2500 0.5539
0.7856 0.7500 0.8836

***

Record 2
Ce3AlCo8 (PBE-GGA, relaxed); DOS(E_F) = 1.55 states/eV/atom; ρ = 8.9 g/cm3; SG = R3m; uncorrected energy = -6.76 eV per atom
1.0
2.4687 1.4253 8.0797
-2.4687 1.4253 8.0797
0.0000 -2.8506 8.0797
Ce Al Co
3 1 8
direct
0.0000 0.0000 0.0000
0.1248 0.1248 0.1248
0.6243 0.6243 0.6243
0.4998 0.4998 0.4998
0.0610 0.0610 0.5552
0.0610 0.5552 0.0610
0.0739 0.5625 0.5625
0.3129 0.3129 0.3129
0.5552 0.0610 0.0610
0.5625 0.0739 0.5625
0.5625 0.5625 0.0739
0.8140 0.8140 0.8140

***

Record 3
CeAlCo (PBE-GGA, relaxed); DOS(E_F) = 1.61 states/eV/atom; ρ = 6.5 g/cm3; SG = P-6m2; uncorrected energy = -5.85 eV per atom
1.0
4.3086 0.0000 0.0000
-2.1543 3.7313 0.0000
0.0000 0.0000 3.5735
Ce Al Co
1 1 1
direct
0.0000 0.0000 0.0000
0.6667 0.3333 0.5000
0.3333 0.6667 0.5000

***

Record 4
CeAlCo2 (PBE-GGA, relaxed); DOS(E_F) = 1.25 states/eV/atom; ρ = 8.1 g/cm3; SG = P4/mmm; uncorrected energy = -6.23 eV per atom
1.0
2.9270 0.0000 0.0000
0.0000 2.9270 0.0000
0.0000 0.0000 6.8431
Ce Al Co
1 1 2
direct
0.0000 0.0000 0.0000
0.0000 0.0000 0.5000
0.5000 0.5000 0.2984
0.5000 0.5000 0.7016

***

Record 5
Ce2Al8Co (PBE-GGA, relaxed); DOS(E_F) = 0.85 states/eV/atom; ρ = 4.5 g/cm3; SG = P4/mmm; uncorrected energy = -4.85 eV per atom
1.0
4.2761 0.0000 0.0000
0.0000 4.2761 0.0000
0.0000 0.0000 11.2701
Ce Al Co
2 8 1
direct
0.0000 0.0000 0.1948
0.0000 0.0000 0.8052
0.0000 0.5000 0.0000
0.0000 0.5000 0.3846
0.0000 0.5000 0.6154
0.5000 0.0000 0.0000
0.5000 0.0000 0.3846
0.5000 0.0000 0.6154
0.5000 0.5000 0.1963
0.5000 0.5000 0.8037
0.0000 0.0000 0.5000

***

Record 6
Ce4AlCo25 (PBE-GGA, relaxed); DOS(E_F) = 1.46 states/eV/atom; ρ = 8.4 g/cm3; SG = Cmmm; uncorrected energy = -6.90 eV per atom
1.0
2.3992 -20.9748 0.0000
2.3992 20.9748 0.0000
0.0000 0.0000 4.0458
Ce Al Co
4 1 25
direct
0.0969 0.9031 0.0000
0.3008 0.6992 0.0000
0.6992 0.3008 0.0000
0.9031 0.0969 0.0000
0.5000 0.5000 0.0000
0.0000 0.0000 0.5000
0.0000 0.5000 0.5000
0.0304 0.9696 0.0000
0.1006 0.3974 0.5000
0.1620 0.8380 0.0000
0.1993 0.8007 0.5000
0.2096 0.3042 0.5000
0.2362 0.7638 0.0000
0.3042 0.2096 0.5000
0.3652 0.6348 0.0000
0.3974 0.1006 0.5000
0.4019 0.5981 0.5000
0.4413 0.5587 0.0000
0.5000 0.0000 0.5000
0.5587 0.4413 0.0000
0.5981 0.4019 0.5000
0.6026 0.8994 0.5000
0.6348 0.3652 0.0000
0.6958 0.7904 0.5000
0.7638 0.2362 0.0000
0.7904 0.6958 0.5000
0.8007 0.1993 0.5000
0.8380 0.1620 0.0000
0.8994 0.6026 0.5000
0.9696 0.0304 0.0000

***

Record 7
CeAlCo (PBE-GGA, relaxed); DOS(E_F) = 0.55 states/eV/atom; ρ = 6.5 g/cm3; SG = P2_1/c; uncorrected energy = -6.09 eV per atom
1.0
5.7954 0.0000 0.0000
0.0000 6.1018 0.0000
-5.5343 0.0000 6.5071
Ce Al Co
4 4 4
direct
0.1920 0.1299 0.4007
0.1920 0.3701 0.9007
0.8080 0.6299 0.0993
0.8080 0.8701 0.5993
0.2955 0.6185 0.6052
0.2955 0.8815 0.1052
0.7045 0.1185 0.8948
0.7045 0.3815 0.3948
0.3200 0.6309 0.3320
0.3200 0.8691 0.8320
0.6800 0.1309 0.1680
0.6800 0.3691 0.6680

***

Record 8
CeAlCo (PBE-GGA, relaxed); DOS(E_F) = 0.94 states/eV/atom; ρ = 7.2 g/cm3; SG = Amm2; uncorrected energy = -5.98 eV per atom
1.0
8.3034 0.0000 0.0000
0.0000 2.6973 4.6349
0.0000 -2.6973 4.6349
Ce Al Co
4 4 4
direct
0.1675 0.0000 0.0000
0.2838 0.6621 0.6621
0.7162 0.6621 0.6621
0.8325 0.0000 0.0000
0.2378 0.3247 0.3247
0.5000 0.1621 0.6687
0.5000 0.6687 0.1621
0.7622 0.3247 0.3247
0.0000 0.4915 0.4915
0.0000 0.4949 0.9920
0.0000 0.9920 0.4949
0.5000 0.1620 0.1620

***

Record 9
Ce2Al2Co15 (PBE-GGA, relaxed); DOS(E_F) = 1.25 states/eV/atom; ρ = 8.2 g/cm3; SG = R-3m; uncorrected energy = -6.79 eV per atom
1.0
4.1678 2.4063 4.0909
-4.1678 2.4063 4.0909
0.0000 -4.8125 4.0909
Ce Al Co
2 2 15
direct
0.1455 0.1455 0.1455
0.8545 0.8545 0.8545
0.3942 0.3942 0.3942
0.6058 0.6058 0.6058
0.0000 0.5000 0.5000
0.1488 0.1488 0.6462
0.1488 0.6462 0.1488
0.2137 0.5000 0.7863
0.2137 0.7863 0.5000
0.3538 0.8512 0.8512
0.5000 0.0000 0.5000
0.5000 0.2137 0.7863
0.5000 0.5000 0.0000
0.5000 0.7863 0.2137
0.6462 0.1488 0.1488
0.7863 0.2137 0.5000
0.7863 0.5000 0.2137
0.8512 0.3538 0.8512
0.8512 0.8512 0.3538

***

Record 10
Ce2Al3Co2 (PBE-GGA, relaxed); DOS(E_F) = 0.90 states/eV/atom; ρ = 6.3 g/cm3; SG = C2/m; uncorrected energy = -5.80 eV per atom
1.0
4.6950 -2.1402 0.0000
4.6950 2.1402 0.0000
-2.8337 0.0000 6.2681
Ce Al Co
2 3 2
direct
0.1362 0.1362 0.2784
0.8638 0.8638 0.7216
0.3627 0.3627 0.0593
0.5000 0.5000 0.5000
0.6373 0.6373 0.9407
0.1122 0.1122 0.7178
0.8878 0.8878 0.2822

***

Record 11
CeAl8Co4 (PBE-GGA, relaxed); DOS(E_F) = 0.88 states/eV/atom; ρ = 5.2 g/cm3; SG = I4/mmm; uncorrected energy = -5.44 eV per atom
1.0
-4.2870 4.2870 2.5558
4.2870 -4.2870 2.5558
4.2870 4.2870 -2.5558
Ce Al Co
1 8 4
direct
0.0000 0.0000 0.0000
0.0000 0.3413 0.3413
0.0000 0.6587 0.6587
0.2772 0.5000 0.7772
0.3413 0.0000 0.3413
0.5000 0.2772 0.7772
0.5000 0.7228 0.2228
0.6587 0.0000 0.6587
0.7228 0.5000 0.2228
0.0000 0.0000 0.5000
0.0000 0.5000 0.0000
0.5000 0.0000 0.0000
0.5000 0.5000 0.5000

***

Record 12
CeAl3Co2 (PBE-GGA, relaxed); DOS(E_F) = 0.90 states/eV/atom; ρ = 5.8 g/cm3; SG = C2/m; uncorrected energy = -5.67 eV per atom
1.0
7.9135 -2.0175 0.0000
7.9135 2.0175 0.0000
-2.9792 0.0000 9.1854
Ce Al Co
3 9 6
direct
0.0000 0.0000 0.0000
0.1624 0.1624 0.7063
0.8376 0.8376 0.2937
0.0459 0.0459 0.3499
0.2157 0.2157 0.3986
0.3209 0.3209 0.0311
0.3727 0.3727 0.7893
0.5000 0.5000 0.5000
0.6273 0.6273 0.2107
0.6791 0.6791 0.9689
0.7843 0.7843 0.6014
0.9541 0.9541 0.6501
0.1853 0.1853 0.1245
0.3648 0.3648 0.5446
0.4726 0.4726 0.2261
0.5274 0.5274 0.7739
0.6352 0.6352 0.4554
0.8147 0.8147 0.8755